Entry 1:
A relaxed MnMo crystal, computed with PBE.

abc: 3.481 3.481 3.481
angles: 60.00 60.00 60.00
Site moments in Bohr magnetons follow the coordinates.
Element x y z (fractional)
Mn 0.000 0.000 0.000  1.37
Mo 0.500 0.500 0.500  -0.45

Calculated values
Symmetry = No. 225
Calculated total energy = -18.27 eV for the cell shown


Entry 2:
A relaxed MnMo crystal, computed with PBE.

abc: 4.268 4.268 4.268
angles: 60.01 60.01 60.01
Site moments in Bohr magnetons follow the coordinates.
Element x y z (fractional)
Mn 0.625 0.625 0.625  1.69
Mo 0.875 0.875 0.875  -0.29
Mn 0.375 0.375 0.375  1.69
Mo 0.125 0.125 0.125  -0.29

Calculated values
Symmetry = No. 227
Calculated total energy = -39.47 eV for the cell shown


Entry 3:
A relaxed MnMo7 crystal, computed with PBE.

abc: 6.277 6.277 6.277
angles: 90.13 90.13 89.87
Site moments in Bohr magnetons follow the coordinates.
Element x y z (fractional)
Mo 0.125 0.625 0.375  -0.07
Mo 0.375 0.875 0.625  -0.07
Mo 0.125 0.125 0.373  -0.04
Mo 0.373 0.373 0.627  0.02
Mo 0.125 0.627 0.875  -0.04
Mo 0.875 0.375 0.625  -0.07
Mo 0.875 0.373 0.125  -0.04
Mo 0.875 0.875 0.627  -0.04
Mo 0.625 0.125 0.375  -0.07
Mo 0.375 0.375 0.125  -0.07
Mo 0.627 0.125 0.875  -0.04
Mn 0.125 0.125 0.875  2.21
Mo 0.627 0.627 0.373  0.02
Mo 0.373 0.875 0.125  -0.04
Mo 0.625 0.625 0.875  -0.07
Mn 0.875 0.875 0.125  2.21

Calculated values
Symmetry = No. 166
Calculated total energy = -169.23 eV for the cell shown
Energy above the lowest structure with this stoichiometry = 0 meV per atom


Entry 4:
A relaxed Mn5Mo4 crystal, computed with PBE.

abc: 7.399 7.399 5.050
angles: 90.00 90.00 60.00
Site moments in Bohr magnetons follow the coordinates.
Element x y z (fractional)
Mn 0.000 0.682 0.750  -0.32
Mn 0.682 0.000 0.250  -0.32
Mn 0.667 0.667 0.500  1.07
Mn 0.333 0.333 0.500  1.07
Mn 0.000 0.318 0.250  -0.32
Mo 0.637 0.000 0.750  -0.06
Mo 0.000 0.637 0.250  -0.06
Mo 0.000 0.000 0.000  -0.09
Mo 0.000 0.000 0.500  -0.09
Mo 0.000 0.363 0.750  -0.06
Mn 0.667 0.667 0.000  1.07
Mo 0.363 0.000 0.250  -0.06
Mn 0.318 0.000 0.750  -0.32
Mn 0.333 0.333 0.000  1.07
Mo 0.363 0.637 0.750  -0.06
Mn 0.682 0.318 0.750  -0.32
Mn 0.318 0.682 0.250  -0.32
Mo 0.637 0.363 0.250  -0.06

Calculated values
Symmetry = No. 193
Calculated total energy = -173.41 eV for the cell shown
Energy above the lowest structure with this stoichiometry = 97 meV per atom


Calculated volume list, top to bottom, in Å³ per atom: 14.91; 13.75; 15.46; 13.30
D(E_F) list, top to bottom, in states/eV per cell: 2.206; 4.011; 11.762; 23.935